# 1
# SmLu2Al7Ag2, optimized geometry, DFT PBE
# E   -4.249 eV per atom
data_SmLu2Al7Ag2
_chemical_formula_sum 'Sm3 Lu6 Al21 Ag6'
_symmetry_space_group_name_H-M 'R -3 m'
_symmetry_Int_Tables_number 166
_symmetry_space_group_name_Hall '-R 3 2"'
_cell_length_a 5.5311
_cell_length_b 5.5311
_cell_length_c 26.2609
_cell_angle_alpha 90.00
_cell_angle_beta 90.00
_cell_angle_gamma 120.00
loop_
_atom_site_label
_atom_site_type_symbol
_atom_site_fract_x
_atom_site_fract_y
_atom_site_fract_z
Sm1 Sm 0.0000 0.0000 0.0000
Lu1 Lu 0.0000 0.0000 0.1425
Al1 Al 0.0000 0.0000 0.5000
Al2 Al 0.0078 0.5039 0.9152
Ag1 Ag 0.0000 0.0000 0.3355



# 2
# Tb2LuAl7Ag2, optimized geometry, DFT PBE
# E   -4.230 eV per atom
data_Tb2LuAl7Ag2
_chemical_formula_sum 'Tb6 Lu3 Al21 Ag6'
_symmetry_space_group_name_H-M 'R -3 m'
_symmetry_Int_Tables_number 166
_symmetry_space_group_name_Hall '-R 3 2"'
_cell_length_a 5.5427
_cell_length_b 5.5427
_cell_length_c 26.2753
_cell_angle_alpha 90.00
_cell_angle_beta 90.00
_cell_angle_gamma 120.00
loop_
_atom_site_label
_atom_site_type_symbol
_atom_site_fract_x
_atom_site_fract_y
_atom_site_fract_z
Tb1 Tb 0.0000 0.0000 0.1422
Lu1 Lu 0.0000 0.0000 0.0000
Al1 Al 0.0000 0.0000 0.5000
Al2 Al 0.0082 0.5041 0.9163
Ag1 Ag 0.0000 0.0000 0.3358



# 3
# TbLu2Al7Ag2, optimized geometry, DFT PBE
# E   -4.232 eV per atom
data_TbLu2Al7Ag2
_chemical_formula_sum 'Tb3 Lu6 Al21 Ag6'
_symmetry_space_group_name_H-M 'R -3 m'
_symmetry_Int_Tables_number 166
_symmetry_space_group_name_Hall '-R 3 2"'
_cell_length_a 5.5059
_cell_length_b 5.5059
_cell_length_c 26.2181
_cell_angle_alpha 90.00
_cell_angle_beta 90.00
_cell_angle_gamma 120.00
loop_
_atom_site_label
_atom_site_type_symbol
_atom_site_fract_x
_atom_site_fract_y
_atom_site_fract_z
Tb1 Tb 0.0000 0.0000 0.0000
Lu1 Lu 0.0000 0.0000 0.1426
Al1 Al 0.0000 0.0000 0.5000
Al2 Al 0.0079 0.5039 0.9155
Ag1 Ag 0.0000 0.0000 0.3355



# 4
# LuAlAgTe3, optimized geometry, DFT PBE
# E   -3.945 eV per atom
data_LuAlAgTe3
_chemical_formula_sum 'Lu4 Al4 Ag4 Te12'
_symmetry_space_group_name_H-M 'C m c m'
_symmetry_Int_Tables_number 63
_symmetry_space_group_name_Hall '-C 2c 2'
_cell_length_a 4.1511
_cell_length_b 14.3516
_cell_length_c 11.1768
_cell_angle_alpha 90.00
_cell_angle_beta 90.00
_cell_angle_gamma 90.00
loop_
_atom_site_label
_atom_site_type_symbol
_atom_site_fract_x
_atom_site_fract_y
_atom_site_fract_z
Lu1 Lu 0.0000 0.0000 0.0000
Al1 Al 0.0000 0.4680 0.2500
Ag1 Ag 0.0000 0.2427 0.7500
Te1 Te 0.0000 0.0988 0.2500
Te2 Te 0.0000 0.3546 0.0619



# 5
# TmLu2Al7Ag2, optimized geometry, DFT PBE
# E   -4.198 eV per atom
data_TmLu2Al7Ag2
_chemical_formula_sum 'Tm3 Lu6 Al21 Ag6'
_symmetry_space_group_name_H-M 'R -3 m'
_symmetry_Int_Tables_number 166
_symmetry_space_group_name_Hall '-R 3 2"'
_cell_length_a 5.4919
_cell_length_b 5.4919
_cell_length_c 26.1225
_cell_angle_alpha 90.00
_cell_angle_beta 90.00
_cell_angle_gamma 120.00
loop_
_atom_site_label
_atom_site_type_symbol
_atom_site_fract_x
_atom_site_fract_y
_atom_site_fract_z
Tm1 Tm 0.0000 0.0000 0.0000
Lu1 Lu 0.0000 0.0000 0.1427
Al1 Al 0.0000 0.0000 0.5000
Al2 Al 0.0081 0.5040 0.9156
Ag1 Ag 0.0000 0.0000 0.3357



# 6
# Tm2LuAl7Ag2, optimized geometry, DFT PBE
# E   -4.192 eV per atom
data_Tm2LuAl7Ag2
_chemical_formula_sum 'Tm6 Lu3 Al21 Ag6'
_symmetry_space_group_name_H-M 'R -3 m'
_symmetry_Int_Tables_number 166
_symmetry_space_group_name_Hall '-R 3 2"'
_cell_length_a 5.4972
_cell_length_b 5.4972
_cell_length_c 26.1599
_cell_angle_alpha 90.00
_cell_angle_beta 90.00
_cell_angle_gamma 120.00
loop_
_atom_site_label
_atom_site_type_symbol
_atom_site_fract_x
_atom_site_fract_y
_atom_site_fract_z
Tm1 Tm 0.0000 0.0000 0.1426
Lu1 Lu 0.0000 0.0000 0.0000
Al1 Al 0.0000 0.0000 0.5000
Al2 Al 0.0080 0.5040 0.9157
Ag1 Ag 0.0000 0.0000 0.3357



# 7
# Y2LuAl7Ag2, optimized geometry, DFT PBE
# E   -4.541 eV per atom
data_Y2LuAl7Ag2
_chemical_formula_sum 'Y6 Lu3 Al21 Ag6'
_symmetry_space_group_name_H-M 'R -3 m'
_symmetry_Int_Tables_number 166
_symmetry_space_group_name_Hall '-R 3 2"'
_cell_length_a 5.5281
_cell_length_b 5.5281
_cell_length_c 26.2518
_cell_angle_alpha 90.00
_cell_angle_beta 90.00
_cell_angle_gamma 120.00
loop_
_atom_site_label
_atom_site_type_symbol
_atom_site_fract_x
_atom_site_fract_y
_atom_site_fract_z
Y1 Y 0.0000 0.0000 0.1421
Lu1 Lu 0.0000 0.0000 0.0000
Al1 Al 0.0000 0.0000 0.5000
Al2 Al 0.0076 0.5038 0.9164
Ag1 Ag 0.0000 0.0000 0.3357



# 8
# Mg32Al36Ag13, optimized geometry, DFT PBE
# E   -2.806 eV per atom
data_Mg32Al36Ag13
_chemical_formula_sum 'Mg64 Al72 Ag26'
_symmetry_space_group_name_H-M 'I m -3'
_symmetry_Int_Tables_number 204
_symmetry_space_group_name_Hall '-I 2 2 3'
_cell_length_a 14.4896
_cell_length_b 14.4896
_cell_length_c 14.4896
_cell_angle_alpha 90.00
_cell_angle_beta 90.00
_cell_angle_gamma 90.00
loop_
_atom_site_label
_atom_site_type_symbol
_atom_site_fract_x
_atom_site_fract_y
_atom_site_fract_z
Mg1 Mg 0.0000 0.1161 0.3054
Mg2 Mg 0.0000 0.1978 0.5000
Mg3 Mg 0.0000 0.4031 0.5000
Mg4 Mg 0.1878 0.1878 0.1878
Al1 Al 0.0000 0.1579 0.0990
Al2 Al 0.0958 0.3100 0.3391
Ag1 Ag 0.0000 0.0000 0.0000
Ag2 Ag 0.0000 0.3157 0.1755



# 9
# MgAlNiAg, optimized geometry, DFT PBE
# E   -3.533 eV per atom
data_MgAlNiAg
_chemical_formula_sum 'Mg4 Al4 Ni4 Ag4'
_symmetry_space_group_name_H-M 'F -4 3 m'
_symmetry_Int_Tables_number 216
_symmetry_space_group_name_Hall 'F -4 2 3'
_cell_length_a 6.2648
_cell_length_b 6.2648
_cell_length_c 6.2648
_cell_angle_alpha 90.00
_cell_angle_beta 90.00
_cell_angle_gamma 90.00
loop_
_atom_site_label
_atom_site_type_symbol
_atom_site_fract_x
_atom_site_fract_y
_atom_site_fract_z
Mg1 Mg 0.0000 0.0000 0.0000
Al1 Al 0.2500 0.2500 0.2500
Ni1 Ni 0.0000 0.0000 0.5000
Ag1 Ag 0.2500 0.2500 0.7500



# 10
# Tm3Mg3AlAg2, optimized geometry, DFT PBE
# E   -3.297 eV per atom
data_Tm3Mg3AlAg2
_chemical_formula_sum 'Tm3 Mg3 Al1 Ag2'
_symmetry_space_group_name_H-M 'P -6 2 m'
_symmetry_Int_Tables_number 189
_symmetry_space_group_name_Hall 'P -6 -2'
_cell_length_a 7.3624
_cell_length_b 7.3624
_cell_length_c 4.3874
_cell_angle_alpha 90.00
_cell_angle_beta 90.00
_cell_angle_gamma 120.00
loop_
_atom_site_label
_atom_site_type_symbol
_atom_site_fract_x
_atom_site_fract_y
_atom_site_fract_z
Tm1 Tm 0.0000 0.5781 0.0000
Mg1 Mg 0.0000 0.2426 0.5000
Al1 Al 0.0000 0.0000 0.0000
Ag1 Ag 0.3333 0.6667 0.5000



# 11
# Tm3Mg3Al2Ag, optimized geometry, DFT PBE
# E   -3.463 eV per atom
data_Tm3Mg3Al2Ag
_chemical_formula_sum 'Tm3 Mg3 Al2 Ag1'
_symmetry_space_group_name_H-M 'P -6 2 m'
_symmetry_Int_Tables_number 189
_symmetry_space_group_name_Hall 'P -6 -2'
_cell_length_a 7.3443
_cell_length_b 7.3443
_cell_length_c 4.3973
_cell_angle_alpha 90.00
_cell_angle_beta 90.00
_cell_angle_gamma 120.00
loop_
_atom_site_label
_atom_site_type_symbol
_atom_site_fract_x
_atom_site_fract_y
_atom_site_fract_z
Tm1 Tm 0.0000 0.5778 0.0000
Mg1 Mg 0.0000 0.2435 0.5000
Al1 Al 0.3333 0.6667 0.5000
Ag1 Ag 0.0000 0.0000 0.0000



# 12
# Y3Mg3Al2Ag, optimized geometry, DFT PBE
# E   -4.168 eV per atom
data_Y3Mg3Al2Ag
_chemical_formula_sum 'Y3 Mg3 Al2 Ag1'
_symmetry_space_group_name_H-M 'P -6 2 m'
_symmetry_Int_Tables_number 189
_symmetry_space_group_name_Hall 'P -6 -2'
_cell_length_a 7.4820
_cell_length_b 7.4820
_cell_length_c 4.3732
_cell_angle_alpha 90.00
_cell_angle_beta 90.00
_cell_angle_gamma 120.00
loop_
_atom_site_label
_atom_site_type_symbol
_atom_site_fract_x
_atom_site_fract_y
_atom_site_fract_z
Y1 Y 0.0000 0.5817 0.0000
Mg1 Mg 0.0000 0.2452 0.5000
Al1 Al 0.3333 0.6667 0.5000
Ag1 Ag 0.0000 0.0000 0.0000